No. 1
Computed, not measured: a geometry-optimized CsNa2MgTl structure at the PBE-GGA level of DFT.

Values from the calculation:
The value obtained for the density of states at the Fermi level is 2.1 states/eV per cell. For the offset from the most stable computed form, the calculation gives 0.0592 eV per atom. The raw total energy is -1.4003 eV/atom. The calculation puts the formation enthalpy at 0 K at 2.08 kcal/mol of atoms.

Cell: 6.254 6.254 5.746 Å, 90.00 90.00 90.00°
Space group P4/mmm (No. 123)
Unique sites:
Cs: 0.000 0.000 0.000
Na: 0.000 0.500 0.500
Mg: 0.500 0.500 0.500
Tl: 0.500 0.500 0.000

No. 2
Computed, not measured: a geometry-optimized Cs2NaMgTl6 structure at the PBE-GGA level of DFT.

Values from the calculation:
The value obtained for the density of states at the Fermi level is 34.5 states/eV per cell. The raw total energy is -1.7831 eV/atom. The calculation puts the formation enthalpy at 0 K at 2.28 kcal/mol of atoms.

Cell: 11.777 11.777 11.777 Å, 90.00 90.00 90.00°
Space group Fm-3m (No. 225)
Unique sites:
Cs: 0.250 0.250 0.250
Na: 0.000 0.000 0.000
Mg: 0.000 0.000 0.500
Tl: 0.000 0.000 0.256

No. 3
Computed, not measured: a geometry-optimized CsNa2MgTl structure at the PBE-GGA level of DFT.

Values from the calculation:
The value obtained for the density of states at the Fermi level is 2.1 states/eV per cell. For the offset from the most stable computed form, the calculation gives 0.0000 eV per atom. The raw total energy is -1.4595 eV/atom. The calculation puts the formation enthalpy at 0 K at 0.71 kcal/mol of atoms.

Cell: 6.187 6.187 5.610 Å, 90.00 90.00 90.00°
Space group P4/mmm (No. 123)
Unique sites:
Cs: 0.000 0.000 0.000
Na: 0.000 0.500 0.500
Mg: 0.500 0.500 0.000
Tl: 0.500 0.500 0.500